DFT (PBE) results for an optimized crystal structure of K2LiDyI6.

a = 8.1390 Å, b = 8.5497 Å, c = 11.5935 Å
α = 90.00°, β = 89.50°, γ = 90.00°
With the nearest neighbours (Å) after each atom.
Positions (direct):
K 0.9717 0.0833 0.7473  6 I 3.57-3.75
K 0.5283 0.5833 0.7527  6 I 3.57-3.75
K 0.4717 0.4167 0.2473  6 I 3.57-3.75
K 0.0283 0.9167 0.2527  6 I 3.57-3.75
I 0.8981 0.5183 0.2525  1 Li 3.00, 1 Dy 3.04
I 0.8095 0.7998 0.9512  1 Dy 3.05, 1 Li 3.09
I 0.3095 0.7002 0.4512  1 Dy 3.05, 1 Li 3.09
I 0.6019 0.0183 0.2475  1 Li 3.00, 1 Dy 3.04
I 0.6905 0.2998 0.5488  1 Dy 3.05, 1 Li 3.09
I 0.1905 0.2002 0.0488  1 Dy 3.05, 1 Li 3.09
I 0.3981 0.9817 0.7525  1 Li 3.00, 1 Dy 3.04
I 0.1019 0.4817 0.7475  1 Li 3.00, 1 Dy 3.04
I 0.3041 0.6952 0.0510  1 Dy 3.05, 1 Li 3.11
I 0.6959 0.3048 0.9490  1 Dy 3.05, 1 Li 3.11
I 0.8041 0.8048 0.5510  1 Dy 3.05, 1 Li 3.11
I 0.1959 0.1952 0.4490  1 Dy 3.05, 1 Li 3.11
Dy 0.0000 0.5000 0.0000  6 I 3.04-3.05
Dy 0.5000 0.0000 0.5000  6 I 3.04-3.05
Li 0.5000 0.0000 0.0000  6 I 3.00-3.11
Li 0.0000 0.5000 0.5000  6 I 3.00-3.11

Computed properties:
As for the energy relative to the elements, uncorrected: -1.386 eV per atom. The calculation puts the total moment at 0.0 Bohr magnetons per cell. Its space group is No. 14.

---

DFT (PBE) results for an optimized crystal structure of KLi2DyI6.

a = 7.8716 Å, b = 7.8682 Å, c = 8.5205 Å
α = 62.48°, β = 62.48°, γ = 60.00°
With the nearest neighbours (Å) after each atom.
Positions (direct):
I 0.7403 0.1533 0.7552  2 Li 2.95-3.15, 1 Dy 3.05
I 0.3511 0.7405 0.7553  2 Li 2.95-3.15, 1 Dy 3.05
I 0.5893 0.2596 0.2350  1 Dy 3.05, 2 Li 3.07-3.20
I 0.9161 0.5894 0.2349  1 Dy 3.05, 2 Li 3.07-3.20
I 0.1534 0.3510 0.7554  2 Li 2.95-3.15, 1 Dy 3.05
I 0.2598 0.9159 0.2351  1 Dy 3.05, 2 Li 3.07-3.21
Dy 0.3249 0.3247 0.0257  6 I 3.05
Li 0.0054 0.0057 0.9829  6 I 2.95-3.21
Li 0.5118 0.5120 0.4645  6 I 3.07-3.15
K 0.8096 0.8094 0.5712  6 I 3.42-3.58

Computed properties:
As for the energy relative to the elements, uncorrected: -1.303 eV per atom. The calculation puts the total moment at 0.0 Bohr magnetons per cell. Its space group is No. 146.

---

DFT (PBE) results for an optimized crystal structure of KDyMgI6.

a = 7.7336 Å, b = 7.7336 Å, c = 15.7181 Å
α = 90.00°, β = 90.00°, γ = 120.00°
With the nearest neighbours (Å) after each atom.
Positions (direct):
I 0.0084 0.6356 0.3600  1 Mg 2.96, 1 Dy 3.04
I 0.6272 0.9916 0.3600  1 Mg 2.96, 1 Dy 3.04
I 0.6356 0.6272 0.6400  1 Mg 2.96, 1 Dy 3.04
I 0.9916 0.3644 0.6400  1 Mg 2.96, 1 Dy 3.04
I 0.9916 0.6272 0.8600  1 Mg 2.96, 1 Dy 3.04
I 0.3728 0.0084 0.6400  1 Mg 2.96, 1 Dy 3.04
I 0.3644 0.3728 0.3600  1 Mg 2.96, 1 Dy 3.04
I 0.6272 0.6356 0.1400  1 Mg 2.96, 1 Dy 3.04
I 0.3728 0.3644 0.8600  1 Mg 2.96, 1 Dy 3.04
I 0.3644 0.9916 0.1400  1 Mg 2.96, 1 Dy 3.04
I 0.6356 0.0084 0.8600  1 Mg 2.96, 1 Dy 3.04
I 0.0084 0.3728 0.1400  1 Mg 2.96, 1 Dy 3.04
Mg 0.6667 0.3333 0.7500  6 I 2.96
Mg 0.3333 0.6667 0.2500  6 I 2.96
Dy 0.6667 0.3333 0.2500  6 I 3.04
Dy 0.3333 0.6667 0.7500  6 I 3.04
K 0.0000 0.0000 0.5000  6 I 3.60
K 0.0000 0.0000 0.0000  6 I 3.60

Computed properties:
As for the energy relative to the elements, uncorrected: -1.290 eV per atom. The calculation puts the total moment at 0.0 Bohr magnetons per cell. Its space group is No. 163.

---

DFT (PBE) results for an optimized crystal structure of K2DyIO6.

a = 6.1280 Å, b = 6.1280 Å, c = 10.5836 Å
α = 73.17°, β = 73.17°, γ = 60.00°
With the nearest neighbours (Å) after each atom.
Positions (direct):
O 0.1756 0.6037 0.6170  1 I 1.91
O 0.3963 0.3963 0.3830  1 I 1.91
O 0.8170 0.8170 0.1096  1 I 1.90
O 0.1830 0.1830 0.8904  1 I 1.90
O 0.6037 0.6037 0.6170  1 I 1.91
O 0.1830 0.7435 0.8904  1 I 1.90
O 0.8244 0.3963 0.3830  1 I 1.91
O 0.8170 0.2565 0.1096  1 I 1.90
O 0.2565 0.8170 0.1096  1 I 1.90
O 0.7435 0.1830 0.8904  1 I 1.90
O 0.3963 0.8244 0.3830  1 I 1.91
O 0.6037 0.1756 0.6170  1 I 1.91
Dy 0.4001 0.4001 0.7998  6 O 2.18-2.37
Dy 0.5999 0.5999 0.2002  6 O 2.18-2.37
I 0.0000 0.0000 0.0000  6 O 1.90
I 0.5000 0.5000 0.5000  6 O 1.91
K 0.7344 0.7344 0.7968  3 O 2.70
K 0.2656 0.2656 0.2032  3 O 2.70
K 0.8652 0.8652 0.4044  9 O 2.93-3.08
K 0.1348 0.1348 0.5956  9 O 2.93-3.08

Computed properties:
As for the energy relative to the elements, uncorrected: -1.652 eV per atom. The calculation puts the total moment at 0.0 Bohr magnetons per cell. Its space group is No. 166.

---

DFT (PBE) results for an optimized crystal structure of KDyIO6.

a = 5.7229 Å, b = 5.7229 Å, c = 5.7439 Å
α = 90.00°, β = 90.00°, γ = 60.00°
With the nearest neighbours (Å) after each atom.
Positions (direct):
I 0.3333 0.3333 0.5000  6 O 1.90
O 0.3579 0.5932 0.3116  1 I 1.90
O 0.5931 0.3579 0.6884  1 I 1.90
O 0.5932 0.0489 0.3116  1 I 1.90
O 0.0488 0.5932 0.6884  1 I 1.90
O 0.0489 0.3579 0.3116  1 I 1.90
O 0.3579 0.0489 0.6884  1 I 1.90
Dy 0.6666 0.6667 0.5000  6 O 2.28
K 0.0000 0.0000 0.0000  6 O 2.84

Computed properties:
As for the energy relative to the elements, uncorrected: -1.389 eV per atom. The calculation puts the total moment at 1.1 Bohr magnetons per cell. Its space group is No. 149.

---

DFT (PBE) results for an optimized crystal structure of KRb2DyI6.

a = 8.6269 Å, b = 9.1631 Å, c = 12.3360 Å
α = 90.00°, β = 89.06°, γ = 90.00°
With the nearest neighbours (Å) after each atom.
Positions (direct):
Rb 0.5322 0.5824 0.7536  6 I 3.72-3.92
Rb 0.4678 0.4176 0.2464  6 I 3.72-3.92
Rb 0.9678 0.0824 0.7464  6 I 3.72-3.92
Rb 0.0322 0.9176 0.2536  6 I 3.72-3.92
I 0.1206 0.4618 0.7688  1 Dy 3.04
I 0.6695 0.2791 0.5646  1 Dy 3.06
I 0.1695 0.2209 0.0646  1 Dy 3.06
I 0.7143 0.3203 0.9456  1 Dy 3.05
I 0.6206 0.0382 0.2688  1 Dy 3.04
I 0.2143 0.1797 0.4456  1 Dy 3.05
I 0.2857 0.6797 0.0544  1 Dy 3.05
I 0.3794 0.9618 0.7312  1 Dy 3.04
I 0.8794 0.5382 0.2312  1 Dy 3.04
I 0.7857 0.8203 0.5544  1 Dy 3.05
I 0.8305 0.7791 0.9354  1 Dy 3.06
I 0.3305 0.7209 0.4354  1 Dy 3.06
Dy 0.0000 0.5000 0.0000  6 I 3.04-3.06
Dy 0.5000 0.0000 0.5000  6 I 3.04-3.06
K 0.5000 0.0000 0.0000  6 I 3.51-3.58
K 0.0000 0.5000 0.5000  6 I 3.51-3.58

Computed properties:
As for the energy relative to the elements, uncorrected: -1.470 eV per atom. The calculation puts the total moment at 0.0 Bohr magnetons per cell. Its space group is No. 14.

---

DFT (PBE) results for an optimized crystal structure of KDySeI.

a = 4.2330 Å, b = 4.2327 Å, c = 8.6890 Å
α = 90.00°, β = 104.10°, γ = 120.00°
With the nearest neighbours (Å) after each atom.
Positions (direct):
Dy 0.1118 0.9539 0.0810  3 Se 2.86, 3 I 3.20
I 0.9432 0.3696 0.3280  3 Dy 3.20
Se 0.3263 0.5611 0.9027  3 Dy 2.86, 3 K 3.18
K 0.4966 0.1462 0.6580  3 Se 3.18

Computed properties:
As for the energy relative to the elements, uncorrected: -1.329 eV per atom. The calculation puts the total moment at 0.0 Bohr magnetons per cell. Its space group is No. 160.

---

DFT (PBE) results for an optimized crystal structure of KDySn2I8.

a = 7.7801 Å, b = 7.3032 Å, c = 9.5894 Å
α = 89.95°, β = 89.99°, γ = 88.82°
With the nearest neighbours (Å) after each atom.
Positions (direct):
Sn 0.5002 0.5000 0.7499  6 I 3.12-3.38
Sn 0.4998 0.5000 0.2501  6 I 3.12-3.38
I 0.6341 0.7295 0.4998  2 Sn 3.12
I 0.1562 0.7519 0.7775  1 Dy 3.04, 1 Sn 3.23
I 0.3659 0.2705 0.5002  2 Sn 3.12
I 0.8438 0.2481 0.2225  1 Dy 3.04, 1 Sn 3.23
I 0.6761 0.7634 0.9998  1 Dy 3.09, 2 Sn 3.38
I 0.8444 0.2487 0.7772  1 Dy 3.04, 1 Sn 3.23
I 0.3239 0.2366 0.0002  1 Dy 3.09, 2 Sn 3.38
I 0.1556 0.7513 0.2228  1 Dy 3.04, 1 Sn 3.23
Dy 0.0000 0.0000 0.0000  6 I 3.04-3.09
K 0.0000 0.0000 0.5000  6 I 3.43-3.50

Computed properties:
As for the energy relative to the elements, uncorrected: -0.921 eV per atom. The calculation puts the total moment at 0.0 Bohr magnetons per cell. Its space group is No. 2.

---

Please write out number 7 again, unchanged.
DFT (PBE) results for an optimized crystal structure of KDySeI.

a = 4.2330 Å, b = 4.2327 Å, c = 8.6890 Å
α = 90.00°, β = 104.10°, γ = 120.00°
With the nearest neighbours (Å) after each atom.
Positions (direct):
Dy 0.1118 0.9539 0.0810  3 Se 2.86, 3 I 3.20
I 0.9432 0.3696 0.3280  3 Dy 3.20
Se 0.3263 0.5611 0.9027  3 Dy 2.86, 3 K 3.18
K 0.4966 0.1462 0.6580  3 Se 3.18

Computed properties:
As for the energy relative to the elements, uncorrected: -1.329 eV per atom. The calculation puts the total moment at 0.0 Bohr magnetons per cell. Its space group is No. 160.

---

Repeat the sixth record exactly.
DFT (PBE) results for an optimized crystal structure of KRb2DyI6.

a = 8.6269 Å, b = 9.1631 Å, c = 12.3360 Å
α = 90.00°, β = 89.06°, γ = 90.00°
With the nearest neighbours (Å) after each atom.
Positions (direct):
Rb 0.5322 0.5824 0.7536  6 I 3.72-3.92
Rb 0.4678 0.4176 0.2464  6 I 3.72-3.92
Rb 0.9678 0.0824 0.7464  6 I 3.72-3.92
Rb 0.0322 0.9176 0.2536  6 I 3.72-3.92
I 0.1206 0.4618 0.7688  1 Dy 3.04
I 0.6695 0.2791 0.5646  1 Dy 3.06
I 0.1695 0.2209 0.0646  1 Dy 3.06
I 0.7143 0.3203 0.9456  1 Dy 3.05
I 0.6206 0.0382 0.2688  1 Dy 3.04
I 0.2143 0.1797 0.4456  1 Dy 3.05
I 0.2857 0.6797 0.0544  1 Dy 3.05
I 0.3794 0.9618 0.7312  1 Dy 3.04
I 0.8794 0.5382 0.2312  1 Dy 3.04
I 0.7857 0.8203 0.5544  1 Dy 3.05
I 0.8305 0.7791 0.9354  1 Dy 3.06
I 0.3305 0.7209 0.4354  1 Dy 3.06
Dy 0.0000 0.5000 0.0000  6 I 3.04-3.06
Dy 0.5000 0.0000 0.5000  6 I 3.04-3.06
K 0.5000 0.0000 0.0000  6 I 3.51-3.58
K 0.0000 0.5000 0.5000  6 I 3.51-3.58

Computed properties:
As for the energy relative to the elements, uncorrected: -1.470 eV per atom. The calculation puts the total moment at 0.0 Bohr magnetons per cell. Its space group is No. 14.

---

Among the records above, which one has the highest total moment? KDyIO6

---

Which of these has the highest energy relative to the elements, uncorrected? KDySn2I8